Entry from the Alexandria database: a geometry-optimized LiTl3N structure (PBEsol).

```
data_LiTl3N
_chemical_formula_sum 'Li1 Tl3 N1'
_symmetry_space_group_name_H-M 'P m -3 m'
_symmetry_Int_Tables_number 221
_symmetry_space_group_name_Hall '-P 4 2 3'
_cell_length_a 4.953
_cell_length_b 4.953
_cell_length_c 4.953
_cell_angle_alpha 90.00
_cell_angle_beta 90.00
_cell_angle_gamma 90.00
loop_
_atom_site_label
_atom_site_type_symbol
_atom_site_fract_x
_atom_site_fract_y
_atom_site_fract_z
Li1 Li 0.000 0.000 0.000
Tl1 Tl 0.000 0.000 0.500
N1 N 0.500 0.500 0.500
```

## Properties
Crystal system ... cubic
Spin magnetization ... 1.61 μB per formula unit
E_tot ... -2.62 eV per atom
Offset from the most stable computed form ... 483 meV per atom


Entry from the Alexandria database: a geometry-optimized LiUN2 structure (PBEsol).

```
data_LiUN2
_chemical_formula_sum 'Li4 U4 N8'
_symmetry_space_group_name_H-M 'I 41/a m d'
_symmetry_Int_Tables_number 141
_cell_length_a 4.322
_cell_length_b 4.322
_cell_length_c 10.988
_cell_angle_alpha 90.00
_cell_angle_beta 90.00
_cell_angle_gamma 90.00
loop_
_symmetry_equiv_pos_as_xyz
'x,y,z'
'-x,-y,-z'
'-y+1/4,x+3/4,z+1/4'
'y+1/4,-x+3/4,-z+1/4'
'-x+1/2,-y,z+1/2'
'x+1/2,y,-z+1/2'
'y+1/4,-x+1/4,z+3/4'
'-y+1/4,x+1/4,-z+3/4'
'x,-y,-z'
'-x,y,z'
'-y+1/4,-x+1/4,-z+3/4'
'y+1/4,x+1/4,z+3/4'
'-x+1/2,y,-z+1/2'
'x+1/2,-y,z+1/2'
'y+1/4,x+3/4,-z+1/4'
'-y+1/4,-x+3/4,z+1/4'
'x+1/2,y+1/2,z+1/2'
'-x+1/2,-y+1/2,-z+1/2'
'-y+3/4,x+1/4,z+3/4'
'y+3/4,-x+1/4,-z+3/4'
'-x,-y+1/2,z'
'x,y+1/2,-z'
'y+3/4,-x+3/4,z+1/4'
'-y+3/4,x+3/4,-z+1/4'
'x+1/2,-y+1/2,-z+1/2'
'-x+1/2,y+1/2,z+1/2'
'-y+3/4,-x+3/4,-z+1/4'
'y+3/4,x+3/4,z+1/4'
'-x,y+1/2,-z'
'x,-y+1/2,z'
'y+3/4,x+1/4,-z+3/4'
'-y+3/4,-x+1/4,z+3/4'
loop_
_atom_site_label
_atom_site_type_symbol
_atom_site_fract_x
_atom_site_fract_y
_atom_site_fract_z
Li1 Li 0.000 0.250 0.375
U1 U 0.000 0.250 0.875
N1 N 0.000 0.250 0.084
```

## Properties
Crystal system ... tetragonal
Spin magnetization ... 1.02 μB per formula unit
E_tot ... -9.07 eV per atom


Entry from the Alexandria database: a geometry-optimized Li7VN4 structure (PBEsol).

```
data_Li7VN4
_chemical_formula_sum 'Li14 V2 N8'
_symmetry_space_group_name_H-M 'P 42/n m c'
_symmetry_Int_Tables_number 137
_cell_length_a 6.691
_cell_length_b 6.691
_cell_length_c 4.830
_cell_angle_alpha 90.00
_cell_angle_beta 90.00
_cell_angle_gamma 90.00
loop_
_symmetry_equiv_pos_as_xyz
'x,y,z'
'-x,-y,-z'
'-y+1/2,x,z+1/2'
'y+1/2,-x,-z+1/2'
'-x+1/2,-y+1/2,z'
'x+1/2,y+1/2,-z'
'y,-x+1/2,z+1/2'
'-y,x+1/2,-z+1/2'
'x+1/2,-y,-z'
'-x+1/2,y,z'
'-y,-x,-z+1/2'
'y,x,z+1/2'
'-x,y+1/2,-z'
'x,-y+1/2,z'
'y+1/2,x+1/2,-z+1/2'
'-y+1/2,-x+1/2,z+1/2'
loop_
_atom_site_label
_atom_site_type_symbol
_atom_site_fract_x
_atom_site_fract_y
_atom_site_fract_z
Li1 Li 0.014 0.514 0.250
Li2 Li 0.250 0.250 0.169
Li3 Li 0.250 0.750 0.250
V1 V 0.250 0.750 0.750
N1 N 0.025 0.750 0.538
```

## Properties
Crystal system ... tetragonal
Spin magnetization ... 0.00 μB per formula unit
E_tot ... -5.66 eV per atom


Entry from the Alexandria database: a geometry-optimized LiVN2 structure (PBEsol).

```
data_LiVN2
_chemical_formula_sum 'Li4 V4 N8'
_symmetry_space_group_name_H-M 'P n a 21'
_symmetry_Int_Tables_number 33
_cell_length_a 5.414
_cell_length_b 6.589
_cell_length_c 4.959
_cell_angle_alpha 90.00
_cell_angle_beta 90.00
_cell_angle_gamma 90.00
loop_
_symmetry_equiv_pos_as_xyz
'x,y,z'
'-x,-y,z+1/2'
'-x+1/2,y+1/2,z+1/2'
'x+1/2,-y+1/2,z'
loop_
_atom_site_label
_atom_site_type_symbol
_atom_site_fract_x
_atom_site_fract_y
_atom_site_fract_z
Li1 Li 0.081 0.122 0.000
V1 V 0.074 0.626 0.015
N1 N 0.055 0.601 0.373
N2 N 0.105 0.153 0.427
```

## Properties
Crystal system ... orthorhombic
Spin magnetization ... 0.00 μB per formula unit
E_tot ... -8.10 eV per atom
Offset from the most stable computed form ... 0 meV per atom


Entry from the Alexandria database: a geometry-optimized LiVN2 structure (PBEsol).

```
data_LiVN2
_chemical_formula_sum 'Li4 V4 N8'
_symmetry_space_group_name_H-M 'I -4 2 d'
_symmetry_Int_Tables_number 122
_symmetry_space_group_name_Hall 'I -4 2bw'
_cell_length_a 4.616
_cell_length_b 4.616
_cell_length_c 8.352
_cell_angle_alpha 90.00
_cell_angle_beta 90.00
_cell_angle_gamma 90.00
loop_
_atom_site_label
_atom_site_type_symbol
_atom_site_fract_x
_atom_site_fract_y
_atom_site_fract_z
Li1 Li 0.000 0.000 0.000
V1 V 0.000 0.000 0.500
N1 N 0.194 0.250 0.625
```

## Properties
Crystal system ... tetragonal
Spin magnetization ... 0.00 μB per formula unit
E_tot ... -8.08 eV per atom
Offset from the most stable computed form ... 16 meV per atom


Entry from the Alexandria database: a geometry-optimized LiWN2 structure (PBEsol).

```
data_LiWN2
_chemical_formula_sum 'Li3 W3 N6'
_symmetry_space_group_name_H-M 'R 3 m'
_symmetry_Int_Tables_number 160
_symmetry_space_group_name_Hall 'R 3 -2"'
_cell_length_a 2.9289
_cell_length_b 2.9289
_cell_length_c 15.9962
_cell_angle_alpha 90.00
_cell_angle_beta 90.00
_cell_angle_gamma 120.00
loop_
_atom_site_label
_atom_site_type_symbol
_atom_site_fract_x
_atom_site_fract_y
_atom_site_fract_z
Li1 Li 0.0000 0.0000 0.0000
W1 W 0.0000 0.0000 0.1739
N1 N 0.0000 0.0000 0.5826
N2 N 0.0000 0.0000 0.7661
```

## Properties
Crystal system ... trigonal
Spin magnetization ... 0.00 μB per formula unit
E_tot ... -8.83 eV per atom
Offset from the most stable computed form ... 0 meV per atom


Entry from the Alexandria database: a geometry-optimized LiWN2 structure (PBEsol).

```
data_LiWN2
_chemical_formula_sum 'Li4 W4 N8'
_symmetry_space_group_name_H-M 'I -4 2 d'
_symmetry_Int_Tables_number 122
_symmetry_space_group_name_Hall 'I -4 2bw'
_cell_length_a 4.633
_cell_length_b 4.633
_cell_length_c 9.277
_cell_angle_alpha 90.00
_cell_angle_beta 90.00
_cell_angle_gamma 90.00
loop_
_atom_site_label
_atom_site_type_symbol
_atom_site_fract_x
_atom_site_fract_y
_atom_site_fract_z
Li1 Li 0.000 0.000 0.000
W1 W 0.000 0.000 0.500
N1 N 0.208 0.250 0.625
```

## Properties
Crystal system ... tetragonal
Spin magnetization ... 0.00 μB per formula unit
E_tot ... -8.76 eV per atom
Offset from the most stable computed form ... 71 meV per atom


Entry from the Alexandria database: a geometry-optimized Li15W7N19 structure (PBEsol).

```
data_Li15W7N19
_chemical_formula_sum 'Li30 W14 N38'
_symmetry_space_group_name_H-M 'P -1'
_symmetry_Int_Tables_number 2
_cell_length_a 5.703
_cell_length_b 10.957
_cell_length_c 17.308
_cell_angle_alpha 90.98
_cell_angle_beta 94.02
_cell_angle_gamma 104.05
loop_
_symmetry_equiv_pos_as_xyz
'x,y,z'
'-x,-y,-z'
loop_
_atom_site_label
_atom_site_type_symbol
_atom_site_fract_x
_atom_site_fract_y
_atom_site_fract_z
Li1 Li 0.000 0.000 0.000
Li2 Li 0.003 0.886 0.546
Li3 Li 0.032 0.669 0.653
Li4 Li 0.070 0.845 0.851
Li5 Li 0.127 0.413 0.501
Li6 Li 0.131 0.016 0.306
Li7 Li 0.152 0.572 0.955
Li8 Li 0.227 0.666 0.405
Li9 Li 0.273 0.646 0.819
Li10 Li 0.289 0.487 0.208
Li11 Li 0.331 0.261 0.284
Li12 Li 0.350 0.233 0.795
Li13 Li 0.379 0.421 0.895
Li14 Li 0.439 0.464 0.372
Li15 Li 0.481 0.875 0.017
Li16 Li 0.500 0.000 0.500
W1 W 0.101 0.706 0.119
W2 W 0.123 0.439 0.707
W3 W 0.205 0.170 0.614
W4 W 0.229 0.319 0.063
W5 W 0.313 0.929 0.702
W6 W 0.373 0.041 0.125
W7 W 0.471 0.746 0.543
N1 N 0.036 0.834 0.732
N2 N 0.042 0.350 0.137
N3 N 0.061 0.939 0.429
N4 N 0.085 0.378 0.969
N5 N 0.106 0.344 0.801
N6 N 0.154 0.334 0.620
N7 N 0.159 0.518 0.317
N8 N 0.174 0.880 0.103
N9 N 0.220 0.142 0.063
N10 N 0.244 0.602 0.518
N11 N 0.254 0.290 0.413
N12 N 0.274 0.098 0.710
N13 N 0.346 0.866 0.604
N14 N 0.351 0.959 0.918
N15 N 0.369 0.581 0.718
N16 N 0.376 0.659 0.138
N17 N 0.415 0.091 0.233
N18 N 0.463 0.599 0.911
N19 N 0.470 0.175 0.553
```

## Properties
Crystal system ... triclinic
Spin magnetization ... 0.00 μB per formula unit
E_tot ... -7.70 eV per atom